Density functional theory data (PBE) for a relaxed Tm2CrTc3 crystal. Values from VASP.

Geometry as Quantum ESPRESSO input:
```
&SYSTEM
  ibrav = 0, nat = 6, ntyp = 3
/
ATOMIC_SPECIES
Tm 168.93 Tm.upf
Cr 52.00 Cr.upf
Tc 98.00 Tc.upf
ATOMIC_POSITIONS crystal
Tm 0.7493 0.3749 0.1242
Tm 0.2507 0.6251 0.8758
Cr 0.0000 0.0000 0.0000
Tc 0.5000 0.5000 0.5000
Tc 0.0000 0.0000 0.5000
Tc 0.5000 0.0000 0.5000
CELL_PARAMETERS angstrom
-0.8409 -5.1294 1.3103
4.8691 1.5939 -1.5769
-0.0393 3.7482 3.7082
```

The density of states at the Fermi level comes out at 0.816 states/eV/atom. The formation energy is -0.137 eV/atom. For the theoretical density, the calculation gives 10.68 g/cm3. For the total energy, the calculation gives -8.41 eV per atom.